{"formula": "LaFeReO6", "functional": "PBE+U", "state": "relaxed", "space_group": "Pc, No. 7", "total_energy_ry_per_atom": -0.582, "cell": [[5.667, 0.000, 0.000], [0.000, 5.515, -0.006], [0.000, 5.439, 7.817]], "species": ["O", "O", "O", "O", "O", "O", "O", "O", "O", "O", "O", "O", "La", "La", "Fe", "Fe", "Re", "Re"], "frac_coords": [[0.509, 0.736, 0.972], [0.234, 0.655, 0.762], [0.965, 0.271, 0.039], [0.549, 0.209, 0.527], [0.945, 0.821, 0.456], [0.745, 0.320, 0.738], [0.255, 0.320, 0.238], [0.766, 0.655, 0.262], [0.055, 0.821, 0.956], [0.491, 0.736, 0.472], [0.035, 0.271, 0.539], [0.451, 0.209, 0.027], [0.684, 0.234, 0.254], [0.316, 0.234, 0.754], [0.758, 0.995, 0.001], [0.242, 0.995, 0.501], [0.768, 0.499, 0.501], [0.232, 0.499, 0.001]]}